Here is a relaxed LaSi3Sn crystal from the Alexandria database. Energies are from PBE-GGA.

abc: 5.1203 5.1203 5.1203
angles: 90.00 90.00 90.00
Sites, in units of the cell vectors:
Si (0.0000, 0.5000, 0.0000)
Si (0.0000, 0.0000, 0.5000)
Si (0.5000, 0.0000, 0.0000)
Sn (0.0000, 0.0000, 0.0000)
La (0.5000, 0.5000, 0.5000)

Results
Calculated volume, Å³ per cell: 134
Distance to the lowest polymorph of the same formula, meV per atom: 0
DFT total energy, eV/atom: -4.4265
E_form (uncorrected), eV/atom: 0.613

---

Here is a relaxed La2Si2Sn crystal from the Alexandria database. Energies are from PBE-GGA.

abc: 3.7077 3.7077 9.8661
angles: 79.17 79.17 90.00
Sites, in units of the cell vectors:
Si (0.7500, 0.2500, 0.5000)
Si (0.2500, 0.7500, 0.5000)
Sn (0.0000, 0.0000, 0.0000)
La (0.3831, 0.3831, 0.2338)
La (0.6169, 0.6169, 0.7662)

Results
Calculated volume, Å³ per cell: 131
DFT total energy, eV/atom: -5.4241
E_form (uncorrected), eV/atom: -0.483

---

Here is a relaxed LaSiSn3 crystal from the Alexandria database. Energies are from PBE-GGA.

abc: 5.9643 5.9643 5.9643
angles: 90.00 90.00 90.00
Sites, in units of the cell vectors:
Si (0.5000, 0.5000, 0.5000)
Sn (0.0000, 0.5000, 0.0000)
Sn (0.0000, 0.0000, 0.5000)
Sn (0.5000, 0.0000, 0.0000)
La (0.0000, 0.0000, 0.0000)

Results
Calculated volume, Å³ per cell: 212
Distance to the lowest polymorph of the same formula, meV per atom: 1037
DFT total energy, eV/atom: -3.3576
E_form (uncorrected), eV/atom: 1.114

---

Here is a relaxed LaSiSn3 crystal from the Alexandria database. Energies are from PBE-GGA.

abc: 5.2554 5.2554 5.2554
angles: 90.00 90.00 90.00
Sites, in units of the cell vectors:
Si (0.0000, 0.0000, 0.0000)
Sn (0.0000, 0.5000, 0.0000)
Sn (0.0000, 0.0000, 0.5000)
Sn (0.5000, 0.0000, 0.0000)
La (0.5000, 0.5000, 0.5000)

Results
Calculated volume, Å³ per cell: 145
Distance to the lowest polymorph of the same formula, meV per atom: 0
DFT total energy, eV/atom: -4.3942
E_form (uncorrected), eV/atom: 0.078